Model A:
Entry from the Open Quantum Materials Database: a geometry-optimized YFePdPb structure (GGA-PBE).

Computed properties:
* crystal system: cubic

a = 6.894 Å, b = 6.894 Å, c = 6.894 Å
α = 90.00°, β = 90.00°, γ = 90.00°
Space group F-43m (No. 216)
Inequivalent atoms, fractional coordinates:
Y 0.000 0.000 0.000 (multiplicity 4)
Fe 0.000 0.000 0.500 (multiplicity 4)
Pd 0.250 0.250 0.750 (multiplicity 4)
Pb 0.250 0.250 0.250 (multiplicity 4)


Model B:
Entry from the Open Quantum Materials Database: a geometry-optimized YFePdPb structure (GGA-PBE).

Computed properties:
* crystal system: cubic

a = 6.803 Å, b = 6.803 Å, c = 6.803 Å
α = 90.00°, β = 90.00°, γ = 90.00°
Space group F-43m (No. 216)
Inequivalent atoms, fractional coordinates:
Y 0.000 0.000 0.000 (multiplicity 4)
Fe 0.250 0.250 0.750 (multiplicity 4)
Pd 0.250 0.250 0.250 (multiplicity 4)
Pb 0.000 0.000 0.500 (multiplicity 4)


What should be chosen as the most stable of them? Choose model B.


Model A:
Entry from the Open Quantum Materials Database: a geometry-optimized ScFePtPb structure (GGA-PBE).

Computed properties:
* crystal system: cubic

a = 6.592 Å, b = 6.592 Å, c = 6.592 Å
α = 90.00°, β = 90.00°, γ = 90.00°
Space group F-43m (No. 216)
Inequivalent atoms, fractional coordinates:
Sc 0.000 0.000 0.000 (multiplicity 4)
Fe 0.250 0.250 0.750 (multiplicity 4)
Pt 0.250 0.250 0.250 (multiplicity 4)
Pb 0.000 0.000 0.500 (multiplicity 4)


Model B:
Entry from the Open Quantum Materials Database: a geometry-optimized ScFePtPb structure (GGA-PBE).

Computed properties:
* crystal system: cubic

a = 6.567 Å, b = 6.567 Å, c = 6.567 Å
α = 90.00°, β = 90.00°, γ = 90.00°
Space group F-43m (No. 216)
Inequivalent atoms, fractional coordinates:
Sc 0.000 0.000 0.000 (multiplicity 4)
Fe 0.000 0.000 0.500 (multiplicity 4)
Pt 0.250 0.250 0.750 (multiplicity 4)
Pb 0.250 0.250 0.250 (multiplicity 4)


What should be chosen as the most stable of them? Choose model A.


Model A:
Entry from the Open Quantum Materials Database: a geometry-optimized TaFePtPb structure (GGA-PBE).

Computed properties:
* crystal system: cubic

a = 6.531 Å, b = 6.531 Å, c = 6.531 Å
α = 90.00°, β = 90.00°, γ = 90.00°
Space group F-43m (No. 216)
Inequivalent atoms, fractional coordinates:
Ta 0.000 0.000 0.000 (multiplicity 4)
Fe 0.000 0.000 0.500 (multiplicity 4)
Pt 0.250 0.250 0.750 (multiplicity 4)
Pb 0.250 0.250 0.250 (multiplicity 4)


Model B:
Entry from the Open Quantum Materials Database: a geometry-optimized TaFePtPb structure (GGA-PBE).

Computed properties:
* crystal system: cubic

a = 6.532 Å, b = 6.532 Å, c = 6.532 Å
α = 90.00°, β = 90.00°, γ = 90.00°
Space group F-43m (No. 216)
Inequivalent atoms, fractional coordinates:
Ta 0.000 0.000 0.000 (multiplicity 4)
Fe 0.250 0.250 0.750 (multiplicity 4)
Pt 0.250 0.250 0.250 (multiplicity 4)
Pb 0.000 0.000 0.500 (multiplicity 4)


What should be chosen as the most stable of them? Choose model B.


Model A:
Entry from the Open Quantum Materials Database: a geometry-optimized ZrFePtPb structure (GGA-PBE).

Computed properties:
* crystal system: cubic

a = 6.641 Å, b = 6.641 Å, c = 6.641 Å
α = 90.00°, β = 90.00°, γ = 90.00°
Space group F-43m (No. 216)
Inequivalent atoms, fractional coordinates:
Zr 0.000 0.000 0.000 (multiplicity 4)
Fe 0.250 0.250 0.750 (multiplicity 4)
Pt 0.250 0.250 0.250 (multiplicity 4)
Pb 0.000 0.000 0.500 (multiplicity 4)


Model B:
Entry from the Open Quantum Materials Database: a geometry-optimized ZrFePtPb structure (GGA-PBE).

Computed properties:
* crystal system: cubic

a = 6.608 Å, b = 6.608 Å, c = 6.608 Å
α = 90.00°, β = 90.00°, γ = 90.00°
Space group F-43m (No. 216)
Inequivalent atoms, fractional coordinates:
Zr 0.000 0.000 0.000 (multiplicity 4)
Fe 0.000 0.000 0.500 (multiplicity 4)
Pt 0.250 0.250 0.750 (multiplicity 4)
Pb 0.250 0.250 0.250 (multiplicity 4)


What should be chosen as the most stable of them? Choose model A.


Model A:
Entry from the Open Quantum Materials Database: a geometry-optimized RbFePb structure (GGA-PBE).

Computed properties:
* crystal system: cubic

a = 7.839 Å, b = 7.839 Å, c = 7.839 Å
α = 90.00°, β = 90.00°, γ = 90.00°
Space group F-43m (No. 216)
Inequivalent atoms, fractional coordinates:
Rb 0.000 0.000 0.000 (multiplicity 4)
Fe 0.250 0.250 0.750 (multiplicity 4)
Pb 0.250 0.250 0.250 (multiplicity 4)


Model B:
Entry from the Open Quantum Materials Database: a geometry-optimized RbFePb structure (GGA-PBE).

Computed properties:
* crystal system: cubic

a = 7.310 Å, b = 7.310 Å, c = 7.310 Å
α = 90.00°, β = 90.00°, γ = 90.00°
Space group F-43m (No. 216)
Inequivalent atoms, fractional coordinates:
Rb 0.000 0.000 0.000 (multiplicity 4)
Fe 0.250 0.250 0.750 (multiplicity 4)
Pb 0.000 0.000 0.500 (multiplicity 4)


What should be chosen as the most stable of them? Choose model B.


Model A:
Entry from the Open Quantum Materials Database: a geometry-optimized YFeRePb structure (GGA-PBE).

Computed properties:
* crystal system: cubic

a = 6.739 Å, b = 6.739 Å, c = 6.739 Å
α = 90.00°, β = 90.00°, γ = 90.00°
Space group F-43m (No. 216)
Inequivalent atoms, fractional coordinates:
Y 0.000 0.000 0.000 (multiplicity 4)
Fe 0.250 0.250 0.750 (multiplicity 4)
Re 0.250 0.250 0.250 (multiplicity 4)
Pb 0.000 0.000 0.500 (multiplicity 4)


Model B:
Entry from the Open Quantum Materials Database: a geometry-optimized YFeRePb structure (GGA-PBE).

Computed properties:
* crystal system: cubic

a = 6.811 Å, b = 6.811 Å, c = 6.811 Å
α = 90.00°, β = 90.00°, γ = 90.00°
Space group F-43m (No. 216)
Inequivalent atoms, fractional coordinates:
Y 0.000 0.000 0.000 (multiplicity 4)
Fe 0.000 0.000 0.500 (multiplicity 4)
Re 0.250 0.250 0.750 (multiplicity 4)
Pb 0.250 0.250 0.250 (multiplicity 4)


What should be chosen as the most stable of them? Choose model A.